Entry 1:
PrSiP3 | Alexandria via LeMat-Bulk | PBE | optimized geometry; space-group type = Pna2_1, No. 33; D(E_F) = 0.018 states/eV per atom; E = -5.97 eV per atom
1.0
5.895 0.000 0.000
0.000 25.530 0.000
0.000 0.000 5.730
Pr Si P
8 8 24
direct
0.025 0.098 0.000 Pr
0.026 0.410 0.501 Pr
0.474 0.910 0.001 Pr
0.475 0.598 0.500 Pr
0.525 0.402 0.000 Pr
0.526 0.090 0.501 Pr
0.974 0.590 0.001 Pr
0.975 0.902 0.500 Pr
0.056 0.706 0.579 Si
0.116 0.209 0.577 Si
0.384 0.709 0.077 Si
0.444 0.206 0.079 Si
0.556 0.794 0.579 Si
0.616 0.291 0.577 Si
0.884 0.791 0.077 Si
0.944 0.294 0.079 Si
0.019 0.127 0.498 P
0.019 0.711 0.971 P
0.029 0.376 0.998 P
0.082 0.215 0.969 P
0.185 0.998 0.703 P
0.187 0.998 0.303 P
0.313 0.498 0.803 P
0.315 0.498 0.203 P
0.418 0.715 0.469 P
0.471 0.876 0.498 P
0.481 0.211 0.471 P
0.481 0.627 0.998 P
0.519 0.373 0.498 P
0.519 0.789 0.971 P
0.529 0.124 0.998 P
0.582 0.285 0.969 P
0.685 0.502 0.703 P
0.687 0.502 0.303 P
0.813 0.002 0.803 P
0.815 0.002 0.203 P
0.918 0.785 0.469 P
0.971 0.624 0.498 P
0.981 0.289 0.471 P
0.981 0.873 0.998 P



Entry 2:
Ca2InCu2 | Alexandria via LeMat-Bulk | PBE | optimized geometry; calculated formation energy = -0.108 eV per atom; space-group type = I4/mmm, No. 139; D(E_F) = 0.727 states/eV per atom; E = -3.09 eV per atom
1.0
-2.838 2.838 3.805
2.838 -2.838 3.805
2.838 2.838 -3.805
Ca In Cu
2 1 2
direct
0.250 0.750 0.500 Ca
0.750 0.250 0.500 Ca
0.000 0.000 0.000 In
0.349 0.349 0.000 Cu
0.651 0.651 0.000 Cu



Entry 3:
ZrBeHg2Pd | Alexandria via LeMat-Bulk | PBE | optimized geometry; calculated formation energy = 1.244 eV per atom; space-group type = P4/mmm, No. 123; D(E_F) = 0.978 states/eV per atom; E = -2.37 eV per atom
1.0
5.453 0.000 0.000
0.000 5.453 0.000
0.000 0.000 4.784
Zr Be Hg Pd
1 1 2 1
direct
0.000 0.000 0.000 Zr
0.000 0.000 0.500 Be
0.000 0.500 0.000 Hg
0.500 0.000 0.000 Hg
0.500 0.500 0.500 Pd



Entry 4:
Mn3W | Alexandria via LeMat-Bulk | PBE | optimized geometry; calculated formation energy = 0.186 eV per atom; space-group type = Imm2, No. 44; D(E_F) = 1.209 states/eV per atom; E = -9.93 eV per atom
1.0
-1.392 4.117 2.139
1.392 -4.117 2.139
1.392 4.117 -2.139
Mn W
3 1
direct
0.000 0.000 0.000 Mn
0.143 0.412 0.731 Mn
0.682 0.412 0.269 Mn
0.489 0.989 0.500 W



Entry 5:
La3Ce2ScAs6 | Alexandria via LeMat-Bulk | PBE | optimized geometry; calculated formation energy = -1.463 eV per atom; space-group type = C2/m, No. 12; D(E_F) = 0.950 states/eV per atom; E = -6.54 eV per atom
1.0
9.249 -2.125 0.000
9.249 2.125 0.000
-1.982 0.000 8.258
La Ce Sc As
3 2 1 6
direct
0.000 0.000 0.000 La
0.333 0.333 0.665 La
0.667 0.667 0.335 La
0.336 0.336 0.170 Ce
0.664 0.664 0.830 Ce
0.000 0.000 0.500 Sc
0.159 0.159 0.587 As
0.170 0.170 0.077 As
0.499 0.499 0.268 As
0.501 0.501 0.732 As
0.830 0.830 0.923 As
0.841 0.841 0.413 As



Entry 6:
CaPa2As3 | Alexandria via LeMat-Bulk | PBE | optimized geometry; calculated formation energy = -1.102 eV per atom; space-group type = Pnma, No. 62; D(E_F) = 1.311 states/eV per atom; E = -6.93 eV per atom
1.0
8.273 0.000 0.000
0.000 5.828 0.000
0.000 0.000 12.366
Ca Pa As
4 8 12
direct
0.124 0.250 0.080 Ca
0.376 0.750 0.580 Ca
0.624 0.250 0.420 Ca
0.876 0.750 0.920 Ca
0.124 0.250 0.416 Pa
0.124 0.250 0.752 Pa
0.376 0.750 0.252 Pa
0.376 0.750 0.916 Pa
0.624 0.250 0.084 Pa
0.624 0.250 0.748 Pa
0.876 0.750 0.248 Pa
0.876 0.750 0.584 Pa
0.123 0.750 0.415 As
0.125 0.750 0.751 As
0.133 0.750 0.087 As
0.367 0.250 0.587 As
0.375 0.250 0.251 As
0.377 0.250 0.915 As
0.623 0.750 0.085 As
0.625 0.750 0.749 As
0.633 0.750 0.413 As
0.867 0.250 0.913 As
0.875 0.250 0.249 As
0.877 0.250 0.585 As



Entry 7:
InNiP2 | Alexandria via LeMat-Bulk | PBE | optimized geometry; calculated formation energy = 0.091 eV per atom; space-group type = C2/m, No. 12; D(E_F) = 0.435 states/eV per atom; E = -4.74 eV per atom
1.0
5.208 -1.596 0.000
5.208 1.596 0.000
-0.043 0.000 4.387
In Ni P
1 1 2
direct
0.000 0.000 0.000 In
0.500 0.500 0.500 Ni
0.172 0.172 0.502 P
0.828 0.828 0.498 P



Entry 8:
La4GeBrCl2 | Alexandria via LeMat-Bulk | PBE | optimized geometry; space-group type = P2/m, No. 10; D(E_F) = 0.602 states/eV per atom; E = -5.10 eV per atom
1.0
7.274 0.000 0.000
0.000 4.355 0.000
-2.597 0.000 7.009
La Ge Br Cl
4 1 1 2
direct
0.239 0.000 0.231 La
0.248 0.500 0.765 La
0.752 0.500 0.235 La
0.761 0.000 0.769 La
0.500 0.000 0.000 Ge
0.500 0.500 0.500 Br
0.000 0.000 0.500 Cl
0.000 0.500 0.000 Cl



Entry 9:
CePrGaNi | Alexandria via LeMat-Bulk | PBE | optimized geometry; calculated formation energy = -0.266 eV per atom; space-group type = F-43m, No. 216; D(E_F) = 1.877 states/eV per atom; E = -5.15 eV per atom
1.0
0.000 3.601 3.601
3.601 0.000 3.601
3.601 3.601 0.000
Ce Pr Ga Ni
1 1 1 1
direct
0.000 0.000 0.000 Ce
0.500 0.500 0.500 Pr
0.250 0.250 0.250 Ga
0.750 0.750 0.750 Ni



Entry 10:
Y2Ga2Fe15 | Alexandria via LeMat-Bulk | PBE | optimized geometry; calculated formation energy = -0.055 eV per atom; space-group type = R-3m, No. 166; D(E_F) = 0.998 states/eV per atom; E = -7.74 eV per atom
1.0
4.198 2.424 4.159
-4.198 2.424 4.159
0.000 -4.847 4.159
Y Ga Fe
2 2 15
direct
0.154 0.154 0.154 Y
0.846 0.846 0.846 Y
0.398 0.398 0.398 Ga
0.602 0.602 0.602 Ga
0.000 0.500 0.500 Fe
0.159 0.159 0.660 Fe
0.159 0.660 0.159 Fe
0.195 0.500 0.805 Fe
0.195 0.805 0.500 Fe
0.340 0.841 0.841 Fe
0.500 0.000 0.500 Fe
0.500 0.195 0.805 Fe
0.500 0.500 0.000 Fe
0.500 0.805 0.195 Fe
0.660 0.159 0.159 Fe
0.805 0.195 0.500 Fe
0.805 0.500 0.195 Fe
0.841 0.340 0.841 Fe
0.841 0.841 0.340 Fe



Entry 11:
ThScNiPd | Alexandria via LeMat-Bulk | PBE | optimized geometry; calculated formation energy = -0.521 eV per atom; space-group type = F-43m, No. 216; D(E_F) = 0.744 states/eV per atom; E = -6.70 eV per atom; ΔE to the lowest computed polymorph = 110 meV per atom
1.0
0.000 3.443 3.443
3.443 0.000 3.443
3.443 3.443 0.000
Th Sc Ni Pd
1 1 1 1
direct
0.000 0.000 0.000 Th
0.500 0.500 0.500 Sc
0.250 0.250 0.250 Ni
0.750 0.750 0.750 Pd



Entry 12:
KMg3O | Alexandria via LeMat-Bulk | PBE | optimized geometry; space-group type = Pm-3m, No. 221; D(E_F) = 0.905 states/eV per atom; E = -0.97 eV per atom; ΔE to the lowest computed polymorph = 1505 meV per atom
1.0
6.988 0.000 0.000
0.000 6.988 0.000
0.000 0.000 6.988
K Mg O
1 3 1
direct
0.000 0.000 0.000 K
0.000 0.000 0.500 Mg
0.000 0.500 0.000 Mg
0.500 0.000 0.000 Mg
0.500 0.500 0.500 O



Entry 13:
Sc2MnRe | Alexandria via LeMat-Bulk | PBE | optimized geometry; calculated formation energy = 0.157 eV per atom; space-group type = I-4m2, No. 119; D(E_F) = 1.338 states/eV per atom; E = -8.41 eV per atom
1.0
-2.248 2.248 3.193
2.248 -2.248 3.193
2.248 2.248 -3.193
Sc Mn Re
2 1 1
direct
0.000 0.000 0.000 Sc
0.750 0.250 0.500 Sc
0.250 0.750 0.500 Mn
0.500 0.500 0.000 Re



Entry 14:
LiTiB | Alexandria via LeMat-Bulk | PBE | optimized geometry; calculated formation energy = -0.127 eV per atom; space-group type = P2_1/m, No. 11; D(E_F) = 0.615 states/eV per atom; E = -5.62 eV per atom; ΔE to the lowest computed polymorph = 285 meV per atom
1.0
4.571 0.000 0.000
0.000 3.034 0.000
-1.220 0.000 5.238
Li Ti B
2 2 2
direct
0.042 0.250 0.170 Li
0.958 0.750 0.830 Li
0.433 0.250 0.703 Ti
0.567 0.750 0.297 Ti
0.083 0.750 0.479 B
0.917 0.250 0.521 B



Entry 15:
BaLi2TbSn2 | Alexandria via LeMat-Bulk | PBE | optimized geometry; calculated formation energy = -0.596 eV per atom; space-group type = P-3m1, No. 164; D(E_F) = 0.430 states/eV per atom; E = -3.66 eV per atom
1.0
4.873 0.000 0.000
-2.437 4.220 0.000
0.000 0.000 8.263
Ba Li Tb Sn
1 2 1 2
direct
0.000 0.000 0.000 Ba
0.333 0.667 0.678 Li
0.667 0.333 0.322 Li
0.000 0.000 0.500 Tb
0.333 0.667 0.300 Sn
0.667 0.333 0.700 Sn



Entry 16:
Be3OsPd | Alexandria via LeMat-Bulk | PBE | optimized geometry; calculated formation energy = 0.678 eV per atom; space-group type = Pm-3m, No. 221; D(E_F) = 0.339 states/eV per atom; E = -4.84 eV per atom; ΔE to the lowest computed polymorph = 0 meV per atom
1.0
4.135 0.000 0.000
0.000 4.135 0.000
0.000 0.000 4.135
Be Os Pd
3 1 1
direct
0.000 0.000 0.500 Be
0.000 0.500 0.000 Be
0.500 0.000 0.000 Be
0.000 0.000 0.000 Os
0.500 0.500 0.500 Pd



Entry 17:
Ho2BeAl4Au3 | Alexandria via LeMat-Bulk | PBE | optimized geometry; calculated formation energy = -0.582 eV per atom; space-group type = P-4m2, No. 115; D(E_F) = 0.462 states/eV per atom; E = -4.35 eV per atom
1.0
4.185 0.000 0.000
0.000 4.185 0.000
0.000 0.000 10.807
Ho Be Al Au
2 1 4 3
direct
0.000 0.500 0.238 Ho
0.500 0.000 0.762 Ho
0.500 0.500 0.000 Be
0.000 0.000 0.500 Al
0.000 0.500 0.872 Al
0.500 0.000 0.128 Al
0.500 0.500 0.500 Al
0.000 0.000 0.000 Au
0.000 0.500 0.642 Au
0.500 0.000 0.358 Au